12
Lattice="-3.5803 1.7140 0.5642 0.2857 -0.7581 4.1172 5.6750 7.5427 -1.1436" Properties=species:S:1:pos:R:3 comment="KNb2Fe2O7 | Alexandria | PBE with a Hubbard U | relaxed" dft_energy_ev_per_atom=-7.667 m_tot_mub_per_fu=8.41 vol_a3_per_cell=152.33 spacegroup="No. 71" pbc="T T T"
O 0.2123 4.1795 2.8928
O 1.3114 7.0341 1.2040
O 2.1682 4.3191 0.6448
O 1.0689 1.4645 2.3336
O 3.2410 5.7909 2.9794
O 4.0277 8.0207 1.1970
O -0.8607 2.7079 0.5582
Fe 2.2847 3.8838 2.6949
Fe 0.0959 4.6148 0.8427
Nb -0.7644 2.2359 2.6027
Nb 3.1447 6.2627 0.9349
K 5.9606 6.7845 2.9735